Record 1
Material: HfCdSe2N
Method: DFT, GGA-PBE
State: relaxed

Cell and atoms, written as CIF:
```
data_HfCdSe2N
_symmetry_space_group_name_H-M 'P 4/m m m'
_symmetry_Int_Tables_number 123
_symmetry_space_group_name_Hall '-P 4 2'
_cell_length_a 5.3129
_cell_length_b 5.3129
_cell_length_c 4.0710
_cell_angle_alpha 90.00
_cell_angle_beta 90.00
_cell_angle_gamma 90.00
loop_
_atom_site_label
_atom_site_fract_x
_atom_site_fract_y
_atom_site_fract_z
Hf1 0.0000 0.0000 0.0000
Cd1 0.5000 0.5000 0.5000
Se1 0.0000 0.5000 0.0000
N1 0.0000 0.0000 0.5000
```

## Properties
spin magnetization = 1.1 μB per formula unit
formation energy from raw total energies = -227 meV per atom
density of states at the Fermi level = 0.58 states/eV/atom


Record 2
Material: HfCdSe2N
Method: DFT, GGA-PBE
State: relaxed

Cell and atoms, written as CIF:
```
data_HfCdSe2N
_symmetry_space_group_name_H-M 'P 4/m m m'
_symmetry_Int_Tables_number 123
_symmetry_space_group_name_Hall '-P 4 2'
_cell_length_a 5.1410
_cell_length_b 5.1410
_cell_length_c 4.0226
_cell_angle_alpha 90.00
_cell_angle_beta 90.00
_cell_angle_gamma 90.00
loop_
_atom_site_label
_atom_site_fract_x
_atom_site_fract_y
_atom_site_fract_z
Hf1 0.0000 0.0000 0.0000
Cd1 0.5000 0.5000 0.5000
Se1 0.0000 0.5000 0.5000
N1 0.5000 0.5000 0.0000
```

## Properties
spin magnetization = 0.0 μB per formula unit
formation energy from raw total energies = 946 meV per atom
density of states at the Fermi level = 1.29 states/eV/atom


Record 3
Material: HfTaCdN2
Method: DFT, GGA-PBE
State: relaxed

Cell and atoms, written as CIF:
```
data_HfTaCdN2
_symmetry_space_group_name_H-M 'P 4/m m m'
_symmetry_Int_Tables_number 123
_symmetry_space_group_name_Hall '-P 4 2'
_cell_length_a 4.1644
_cell_length_b 4.1644
_cell_length_c 5.2214
_cell_angle_alpha 90.00
_cell_angle_beta 90.00
_cell_angle_gamma 90.00
loop_
_atom_site_label
_atom_site_fract_x
_atom_site_fract_y
_atom_site_fract_z
Hf1 0.0000 0.0000 0.0000
Ta1 0.5000 0.5000 0.0000
Cd1 0.0000 0.0000 0.5000
N1 0.0000 0.5000 0.5000
```

## Properties
spin magnetization = 0.0 μB per formula unit
formation energy from raw total energies = 2320 meV per atom
density of states at the Fermi level = 0.88 states/eV/atom